<i>
Cu3MoC: relaxed, PBE-GGA.

CIF file:
```
data_Cu3MoC
_chemical_formula_sum 'Cu3 Mo1 C1'
_cell_length_a 3.898
_cell_length_b 3.898
_cell_length_c 3.898
_cell_angle_alpha 90.00
_cell_angle_beta 90.00
_cell_angle_gamma 90.00
_space_group_name_H-M_alt 'P m -3 m'
_space_group_IT_number 221
_space_group_name_Hall '-P 4 2 3'
loop_
_atom_site_label
_atom_site_fract_x
_atom_site_fract_y
_atom_site_fract_z
Cu1 0.000 0.000 0.500
Mo1 0.500 0.500 0.500
C1 0.000 0.000 0.000
```

<ii>
Cu3MoC: relaxed, PBE-GGA.

CIF file:
```
data_Cu3MoC
_chemical_formula_sum 'Cu3 Mo1 C1'
_cell_length_a 4.671
_cell_length_b 4.671
_cell_length_c 4.671
_cell_angle_alpha 90.00
_cell_angle_beta 90.00
_cell_angle_gamma 90.00
_space_group_name_H-M_alt 'P m -3 m'
_space_group_IT_number 221
_space_group_name_Hall '-P 4 2 3'
loop_
_atom_site_label
_atom_site_fract_x
_atom_site_fract_y
_atom_site_fract_z
Cu1 0.000 0.000 0.500
Mo1 0.000 0.000 0.000
C1 0.500 0.500 0.500
```

The most stable of them is <i>.

<i>
CuMo2C2: relaxed, PBE-GGA.

CIF file:
```
data_CuMo2C2
_chemical_formula_sum 'Cu2 Mo4 C4'
_cell_length_a 6.302
_cell_length_b 6.302
_cell_length_c 2.806
_cell_angle_alpha 90.00
_cell_angle_beta 90.00
_cell_angle_gamma 90.00
_space_group_name_H-M_alt 'P 4/m b m'
_space_group_IT_number 127
_space_group_name_Hall '-P 4 2ab'
loop_
_atom_site_label
_atom_site_fract_x
_atom_site_fract_y
_atom_site_fract_z
Cu1 0.000 0.000 0.000
Mo1 0.144 0.356 0.000
C1 0.141 0.641 0.500
```

<ii>
CuMo2C2: relaxed, PBE-GGA.

CIF file:
```
data_CuMo2C2
_chemical_formula_sum 'Cu2 Mo4 C4'
_cell_length_a 3.870
_cell_length_b 3.870
_cell_length_c 8.187
_cell_angle_alpha 90.00
_cell_angle_beta 90.00
_cell_angle_gamma 90.00
_space_group_name_H-M_alt 'I 4/m m m'
_space_group_IT_number 139
_space_group_name_Hall '-I 4 2'
loop_
_atom_site_label
_atom_site_fract_x
_atom_site_fract_y
_atom_site_fract_z
Cu1 0.000 0.000 0.000
Mo1 0.000 0.000 0.344
C1 0.000 0.500 0.250
```

The most stable of them is <ii>.

<i>
CuMo2C2: relaxed, PBE-GGA.

CIF file:
```
data_CuMo2C2
_chemical_formula_sum 'Cu2 Mo4 C4'
_cell_length_a 4.196
_cell_length_b 4.196
_cell_length_c 6.944
_cell_angle_alpha 90.00
_cell_angle_beta 90.00
_cell_angle_gamma 90.00
_space_group_name_H-M_alt 'I 4/m m m'
_space_group_IT_number 139
_space_group_name_Hall '-I 4 2'
loop_
_atom_site_label
_atom_site_fract_x
_atom_site_fract_y
_atom_site_fract_z
Cu1 0.000 0.000 0.000
Mo1 0.000 0.500 0.250
C1 0.000 0.000 0.289
```

<ii>
CuMo2C2: relaxed, PBE-GGA.

CIF file:
```
data_CuMo2C2
_chemical_formula_sum 'Cu2 Mo4 C4'
_cell_length_a 6.033
_cell_length_b 6.033
_cell_length_c 2.866
_cell_angle_alpha 90.00
_cell_angle_beta 90.00
_cell_angle_gamma 90.00
_space_group_name_H-M_alt 'P 4/m b m'
_space_group_IT_number 127
_space_group_name_Hall '-P 4 2ab'
loop_
_atom_site_label
_atom_site_fract_x
_atom_site_fract_y
_atom_site_fract_z
Cu1 0.000 0.000 0.000
Mo1 0.149 0.351 0.500
C1 0.146 0.646 0.000
```

The most stable of them is <ii>.

<i>
CuCS2N: relaxed, PBE-GGA.

CIF file:
```
data_CuCS2N
_chemical_formula_sum 'Cu1 C1 S2 N1'
_cell_length_a 4.620
_cell_length_b 4.620
_cell_length_c 3.547
_cell_angle_alpha 90.00
_cell_angle_beta 90.00
_cell_angle_gamma 90.00
_space_group_name_H-M_alt 'P 4/m m m'
_space_group_IT_number 123
_space_group_name_Hall '-P 4 2'
loop_
_atom_site_label
_atom_site_fract_x
_atom_site_fract_y
_atom_site_fract_z
Cu1 0.000 0.000 0.000
C1 0.500 0.500 0.500
S1 0.000 0.500 0.000
N1 0.000 0.000 0.500
```

<ii>
CuCS2N: relaxed, PBE-GGA.

CIF file:
```
data_CuCS2N
_chemical_formula_sum 'Cu1 C1 S2 N1'
_cell_length_a 5.546
_cell_length_b 5.546
_cell_length_c 2.416
_cell_angle_alpha 90.00
_cell_angle_beta 90.00
_cell_angle_gamma 90.00
_space_group_name_H-M_alt 'P 4/m m m'
_space_group_IT_number 123
_space_group_name_Hall '-P 4 2'
loop_
_atom_site_label
_atom_site_fract_x
_atom_site_fract_y
_atom_site_fract_z
Cu1 0.000 0.000 0.000
C1 0.500 0.500 0.500
S1 0.000 0.500 0.500
N1 0.500 0.500 0.000
```

The most stable of them is <ii>.

<i>
CuCSeN2: relaxed, PBE-GGA.

CIF file:
```
data_CuCSeN2
_chemical_formula_sum 'Cu1 C1 Se1 N2'
_cell_length_a 3.176
_cell_length_b 3.176
_cell_length_c 7.588
_cell_angle_alpha 90.00
_cell_angle_beta 90.00
_cell_angle_gamma 90.00
_space_group_name_H-M_alt 'P 4/m m m'
_space_group_IT_number 123
_space_group_name_Hall '-P 4 2'
loop_
_atom_site_label
_atom_site_fract_x
_atom_site_fract_y
_atom_site_fract_z
Cu1 0.000 0.000 0.000
C1 0.500 0.500 0.500
Se1 0.500 0.500 0.000
N1 0.000 0.500 0.500
```

<ii>
CuCSeN2: relaxed, PBE-GGA.

CIF file:
```
data_CuCSeN2
_chemical_formula_sum 'Cu1 C1 Se1 N2'
_cell_length_a 3.453
_cell_length_b 3.453
_cell_length_c 7.964
_cell_angle_alpha 90.00
_cell_angle_beta 90.00
_cell_angle_gamma 90.00
_space_group_name_H-M_alt 'P 4/m m m'
_space_group_IT_number 123
_space_group_name_Hall '-P 4 2'
loop_
_atom_site_label
_atom_site_fract_x
_atom_site_fract_y
_atom_site_fract_z
Cu1 0.000 0.000 0.000
C1 0.500 0.500 0.500
Se1 0.000 0.000 0.500
N1 0.000 0.500 0.000
```

The most stable of them is <i>.

<i>
CuCSe2N: relaxed, PBE-GGA.

CIF file:
```
data_CuCSe2N
_chemical_formula_sum 'Cu1 C1 Se2 N1'
_cell_length_a 5.819
_cell_length_b 5.819
_cell_length_c 2.470
_cell_angle_alpha 90.00
_cell_angle_beta 90.00
_cell_angle_gamma 90.00
_space_group_name_H-M_alt 'P 4/m m m'
_space_group_IT_number 123
_space_group_name_Hall '-P 4 2'
loop_
_atom_site_label
_atom_site_fract_x
_atom_site_fract_y
_atom_site_fract_z
Cu1 0.000 0.000 0.000
C1 0.500 0.500 0.500
Se1 0.000 0.500 0.500
N1 0.500 0.500 0.000
```

<ii>
CuCSe2N: relaxed, PBE-GGA.

CIF file:
```
data_CuCSe2N
_chemical_formula_sum 'Cu1 C1 Se2 N1'
_cell_length_a 4.866
_cell_length_b 4.866
_cell_length_c 3.505
_cell_angle_alpha 90.00
_cell_angle_beta 90.00
_cell_angle_gamma 90.00
_space_group_name_H-M_alt 'P 4/m m m'
_space_group_IT_number 123
_space_group_name_Hall '-P 4 2'
loop_
_atom_site_label
_atom_site_fract_x
_atom_site_fract_y
_atom_site_fract_z
Cu1 0.000 0.000 0.000
C1 0.500 0.500 0.500
Se1 0.000 0.500 0.000
N1 0.000 0.000 0.500
```

The most stable of them is <i>.